{"formula": "DyY2Er2Lu2Te2Pd2", "functional": "GGA-PBE", "state": "relaxed", "crystal_system": "orthorhombic", "spacegroup": "Imm2", "dft_energy_ev_per_atom": -5.6234, "cell": [[-2.539, -6.961, -5.720], [6.802, -1.571, 6.235], [-8.844, 0.748, -2.973]], "species": ["Dy", "Y", "Er", "Te", "Y", "Lu", "Lu", "Te", "Pd", "Er", "Pd"], "frac_coords": [[0.478, 0.478, 0.000], [0.095, 0.739, 0.356], [0.022, 0.892, 0.130], [0.139, 0.139, 0.000], [0.384, 0.739, 0.644], [0.419, 0.101, 0.318], [0.784, 0.101, 0.682], [0.741, 0.241, 0.500], [0.650, 0.411, 0.239], [0.763, 0.892, 0.870], [0.173, 0.411, 0.761]]}

---

{"formula": "DyErMg2", "functional": "GGA-PBE", "state": "relaxed", "crystal_system": "orthorhombic", "spacegroup": "Amm2", "relative_energy_mev_per_atom": 91, "cell": [[-0.989, 4.253, 3.267], [6.587, 0.426, 1.440], [3.903, 3.902, -3.897]], "species": ["Mg", "Mg", "Dy", "Mg", "Dy", "Er", "Mg", "Er"], "frac_coords": [[0.500, 0.328, 0.836], [0.500, 0.836, 0.836], [0.000, 0.670, 0.164], [0.000, 0.169, 0.169], [0.000, 0.164, 0.670], [0.000, 0.666, 0.666], [0.500, 0.836, 0.328], [0.500, 0.331, 0.331]]}